First-principles (PBE-GGA) data for crystalline Sr8PAu2 at its relaxed geometry, as listed in the Alexandria database.

a = 6.828 Å, b = 10.496 Å, c = 8.876 Å
α = 131.23°, β = 91.12°, γ = 82.84°
Fractional positions:
Sr (0.323, 0.673, 0.256)
Sr (0.677, 0.327, 0.744)
Sr (0.802, 0.819, 0.102)
Sr (0.227, 0.143, 0.362)
Sr (0.282, 0.673, 0.743)
Sr (0.198, 0.181, 0.898)
Sr (0.773, 0.857, 0.638)
Sr (0.718, 0.327, 0.257)
P (0.000, 0.000, 0.000)
Au (0.143, 0.451, 0.834)
Au (0.857, 0.549, 0.166)

Calculated values
Formation energy, kJ/mol of formula units: -525
Crystal system: triclinic

=====

First-principles (PBE-GGA) data for crystalline ZrCrAu at its relaxed geometry, as listed in the Alexandria database.

a = 3.064 Å, b = 3.064 Å, c = 6.890 Å
α = 90.00°, β = 90.00°, γ = 120.00°
Each line ends with the local moment (μB).
Fractional positions:
Au (0.000, 0.000, 0.011)  0.06
Cr (0.333, 0.667, 0.330)  2.81
Zr (0.667, 0.333, 0.659)  -0.09

Calculated values
Formation energy, kJ/mol of formula units: 73
Crystal system: trigonal

=====

First-principles (PBE-GGA) data for crystalline CaSi2Ni at its relaxed geometry, as listed in the Alexandria database.

a = 4.989 Å, b = 4.989 Å, c = 6.808 Å
α = 90.00°, β = 90.00°, γ = 120.00°
Fractional positions:
Ca (0.000, 0.000, 0.000)
Ca (0.000, 0.000, 0.500)
Si (0.667, 0.333, 0.915)
Si (0.333, 0.667, 0.415)
Si (0.333, 0.667, 0.085)
Si (0.667, 0.333, 0.585)
Ni (0.667, 0.333, 0.250)
Ni (0.333, 0.667, 0.750)

Calculated values
Crystal system: hexagonal

=====

First-principles (PBE-GGA) data for crystalline Nd4CS2F at its relaxed geometry, as listed in the Alexandria database.

a = 3.883 Å, b = 6.818 Å, c = 6.811 Å
α = 108.36°, β = 90.00°, γ = 90.00°
Fractional positions:
Nd (0.500, 0.268, 0.235)
Nd (0.500, 0.732, 0.765)
Nd (0.000, 0.276, 0.781)
Nd (0.000, 0.724, 0.219)
C (0.500, 0.500, 0.000)
S (0.500, 0.000, 0.500)
S (0.000, 0.500, 0.500)
F (0.000, 0.000, 0.000)

Calculated values
Crystal system: monoclinic

=====

Number 1: raw total energy -30.86 eV per cell, Fermi-level density of states 0.829 states/eV per atom, V 473.0 Å³/f.u.. Number 2: raw total energy -20.69 eV per cell, Fermi-level density of states 1.164 states/eV per atom, V 56.0 Å³/f.u.. Number 3: raw total energy -36.28 eV per cell, Fermi-level density of states 0.455 states/eV per atom, V 73.4 Å³/f.u.. Number 4: raw total energy -51.86 eV per cell, Fermi-level density of states 0.464 states/eV per atom, V 171.1 Å³/f.u..